{
  "formula": "RbSbPt",
  "functional": "PBE-GGA",
  "state": "optimized geometry",
  "cell": [[7.298, 0.000, 0.000], [0.000, 7.362, 0.000], [-3.947, 0.000, 7.295]],
  "species": ["Rb", "Rb", "Rb", "Rb", "Sb", "Sb", "Sb", "Sb", "Pt", "Pt", "Pt", "Pt"],
  "fractional_positions": [[0.182, 0.131, 0.398], [0.182, 0.369, 0.898], [0.818, 0.631, 0.102], [0.818, 0.869, 0.602], [0.296, 0.635, 0.583], [0.296, 0.865, 0.083], [0.704, 0.135, 0.917], [0.704, 0.365, 0.417], [0.420, 0.615, 0.334], [0.420, 0.885, 0.834], [0.580, 0.115, 0.166], [0.580, 0.385, 0.666]],
  "raw_formation_energy_ev_per_atom": -0.495,
  "e_above_lowest_polymorph_kcal_per_mol_atoms": 0.00,
  "dos_ef_per_ev_atom": 0.296,
  "spacegroup": "P2_1/c (14)",
  "dft_energy_ev_per_fu": -12.6
}

***

{
  "formula": "Tb5Pm4Dy4",
  "functional": "PBE-GGA",
  "state": "optimized geometry",
  "cell": [[9.143, -2.525, 0.000], [9.143, 2.525, 0.000], [-9.135, 0.000, 9.147]],
  "species": ["Tb", "Tb", "Tb", "Tb", "Tb", "Pm", "Pm", "Pm", "Pm", "Dy", "Dy", "Dy", "Dy"],
  "fractional_positions": [[0.000, 0.000, 0.000], [0.309, 0.309, 0.770], [0.461, 0.461, 0.151], [0.539, 0.539, 0.849], [0.691, 0.691, 0.230], [0.078, 0.078, 0.695], [0.383, 0.383, 0.461], [0.617, 0.617, 0.539], [0.922, 0.922, 0.305], [0.154, 0.154, 0.384], [0.230, 0.230, 0.077], [0.770, 0.770, 0.923], [0.846, 0.846, 0.616]],
  "dos_ef_per_ev_atom": 1.330,
  "formation_enthalpy_0k_kj_per_mol_fu": 19,
  "spacegroup": "C2/m (12)",
  "dft_energy_ev_per_fu": -60.4
}

***

{
  "formula": "HoCO4",
  "functional": "PBE-GGA",
  "state": "optimized geometry",
  "cell": [[12.006, 0.000, 0.000], [-6.003, 10.397, 0.000], [0.000, 0.000, 9.662]],
  "species": ["Ho", "Ho", "Ho", "Ho", "Ho", "Ho", "Ho", "Ho", "Ho", "Ho", "Ho", "Ho", "Ho", "Ho", "Ho", "Ho", "Ho", "Ho", "C", "C", "C", "C", "C", "C", "C", "C", "C", "C", "C", "C", "C", "C", "C", "C", "C", "C", "O", "O", "O", "O", "O", "O", "O", "O", "O", "O", "O", "O", "O", "O", "O", "O", "O", "O", "O", "O", "O", "O", "O", "O", "O", "O", "O", "O", "O", "O", "O", "O", "O", "O", "O", "O", "O", "O", "O", "O", "O", "O", "O", "O", "O", "O", "O", "O", "O", "O", "O", "O", "O", "O", "O", "O", "O", "O", "O", "O", "O", "O", "O", "O", "O", "O", "O", "O", "O", "O", "O", "O"],
  "fractional_positions": [[0.213, 0.778, 0.245], [0.213, 0.778, 0.755], [0.222, 0.435, 0.245], [0.222, 0.435, 0.755], [0.230, 0.113, 0.243], [0.230, 0.113, 0.757], [0.549, 0.103, 0.260], [0.549, 0.103, 0.740], [0.554, 0.451, 0.260], [0.554, 0.451, 0.740], [0.565, 0.787, 0.245], [0.565, 0.787, 0.755], [0.883, 0.770, 0.243], [0.883, 0.770, 0.757], [0.887, 0.117, 0.243], [0.887, 0.117, 0.757], [0.897, 0.446, 0.260], [0.897, 0.446, 0.740], [0.020, 0.826, 0.500], [0.092, 0.886, 0.000], [0.114, 0.206, 0.000], [0.129, 0.572, 0.000], [0.136, 0.639, 0.500], [0.174, 0.194, 0.500], [0.361, 0.497, 0.500], [0.428, 0.557, 0.000], [0.443, 0.871, 0.000], [0.462, 0.221, 0.500], [0.467, 0.155, 0.000], [0.503, 0.864, 0.500], [0.688, 0.533, 0.000], [0.759, 0.538, 0.500], [0.779, 0.241, 0.500], [0.794, 0.908, 0.000], [0.806, 0.980, 0.500], [0.845, 0.312, 0.000], [0.000, 0.000, 0.250], [0.000, 0.000, 0.750], [0.006, 0.334, 0.305], [0.006, 0.334, 0.695], [0.072, 0.829, 0.382], [0.072, 0.829, 0.618], [0.085, 0.239, 0.116], [0.085, 0.239, 0.884], [0.086, 0.587, 0.383], [0.086, 0.587, 0.617], [0.103, 0.511, 0.117], [0.103, 0.511, 0.883], [0.154, 0.915, 0.116], [0.154, 0.915, 0.884], [0.171, 0.243, 0.382], [0.171, 0.243, 0.618], [0.174, 0.142, 0.000], [0.182, 0.696, 0.000], [0.184, 0.091, 0.500], [0.240, 0.750, 0.500], [0.250, 0.490, 0.500], [0.304, 0.486, 0.000], [0.328, 0.994, 0.305], [0.328, 0.994, 0.695], [0.333, 0.667, 0.255], [0.333, 0.667, 0.745], [0.340, 0.332, 0.194], [0.340, 0.332, 0.806], [0.408, 0.897, 0.117], [0.408, 0.897, 0.883], [0.413, 0.499, 0.383], [0.413, 0.499, 0.617], [0.417, 0.157, 0.117], [0.417, 0.157, 0.883], [0.433, 0.253, 0.383], [0.433, 0.253, 0.617], [0.489, 0.592, 0.117], [0.489, 0.592, 0.883], [0.501, 0.914, 0.383], [0.501, 0.914, 0.617], [0.510, 0.760, 0.500], [0.514, 0.818, 0.000], [0.521, 0.156, 0.500], [0.571, 0.147, 0.000], [0.576, 0.429, 0.000], [0.635, 0.479, 0.500], [0.666, 0.672, 0.305], [0.666, 0.672, 0.695], [0.667, 0.333, 0.245], [0.667, 0.333, 0.755], [0.668, 0.008, 0.194], [0.668, 0.008, 0.806], [0.740, 0.583, 0.117], [0.740, 0.583, 0.883], [0.747, 0.180, 0.383], [0.747, 0.180, 0.617], [0.757, 0.928, 0.382], [0.757, 0.928, 0.618], [0.761, 0.846, 0.116], [0.761, 0.846, 0.884], [0.820, 0.567, 0.383], [0.820, 0.567, 0.617], [0.843, 0.260, 0.117], [0.843, 0.260, 0.883], [0.844, 0.365, 0.500], [0.853, 0.424, 0.000], [0.858, 0.032, 0.000], [0.907, 0.816, 0.500], [0.909, 0.093, 0.500], [0.968, 0.826, 0.000], [0.992, 0.660, 0.194], [0.992, 0.660, 0.806]],
  "raw_formation_energy_ev_per_atom": -2.062,
  "e_above_lowest_polymorph_kcal_per_mol_atoms": 0.00,
  "dos_ef_per_ev_atom": 0.173,
  "spacegroup": "P-6 (174)",
  "dft_energy_ev_per_fu": -46.0
}

***

{
  "formula": "SrTc3Se",
  "functional": "PBE-GGA",
  "state": "optimized geometry",
  "cell": [[4.827, 0.000, 0.000], [0.000, 4.827, 0.000], [0.000, 0.000, 4.827]],
  "species": ["Sr", "Tc", "Tc", "Tc", "Se"],
  "fractional_positions": [[0.000, 0.000, 0.000], [0.000, 0.000, 0.500], [0.000, 0.500, 0.000], [0.500, 0.000, 0.000], [0.500, 0.500, 0.500]],
  "raw_formation_energy_ev_per_atom": 3.019,
  "e_above_lowest_polymorph_kcal_per_mol_atoms": 51.86,
  "dos_ef_per_ev_atom": 1.846,
  "spacegroup": "Pm-3m (221)",
  "dft_energy_ev_per_fu": -21.2
}

***

{
  "formula": "Ti5Al2Sb",
  "functional": "PBE-GGA",
  "state": "optimized geometry",
  "cell": [[-3.467, 3.467, 5.796], [3.467, -3.467, 5.796], [3.467, 3.467, -5.796]],
  "species": ["Ti", "Ti", "Ti", "Ti", "Ti", "Ti", "Ti", "Ti", "Ti", "Ti", "Al", "Al", "Al", "Al", "Sb", "Sb"],
  "fractional_positions": [[0.000, 0.000, 0.000], [0.000, 0.500, 0.188], [0.000, 0.500, 0.812], [0.188, 0.000, 0.500], [0.312, 0.812, 0.812], [0.500, 0.312, 0.500], [0.500, 0.500, 0.000], [0.500, 0.688, 0.500], [0.688, 0.188, 0.188], [0.812, 0.000, 0.500], [0.137, 0.363, 0.500], [0.363, 0.863, 0.226], [0.637, 0.137, 0.774], [0.863, 0.637, 0.500], [0.250, 0.250, 0.000], [0.750, 0.750, 0.000]],
  "raw_formation_energy_ev_per_atom": -0.348,
  "dos_ef_per_ev_atom": 1.211,
  "spacegroup": "I4/mcm (140)",
  "dft_energy_ev_per_fu": -53.9
}

***

{
  "formula": "Rb2NaAgTe2",
  "functional": "PBE-GGA",
  "state": "optimized geometry",
  "cell": [[-3.598, 8.264, 3.608], [3.598, -8.264, 3.608], [3.598, 8.264, -3.608]],
  "species": ["Rb", "Rb", "Rb", "Rb", "Na", "Na", "Ag", "Ag", "Te", "Te", "Te", "Te"],
  "fractional_positions": [[0.168, 0.246, 0.414], [0.332, 0.746, 0.078], [0.668, 0.254, 0.922], [0.832, 0.754, 0.586], [0.250, 0.750, 0.500], [0.750, 0.250, 0.500], [0.250, 0.250, 0.000], [0.750, 0.750, 0.000], [0.102, 0.766, 0.868], [0.398, 0.266, 0.663], [0.602, 0.734, 0.337], [0.898, 0.234, 0.132]],
  "raw_formation_energy_ev_per_atom": -0.803,
  "spacegroup": "Ibam (72)",
  "dft_energy_ev_per_fu": -17.2
}